1.
The following is a PBE-GGA calculation of U2ZnGe3Pt4 after structural relaxation, from Alexandria via LeMat-Bulk.

Structure (POSCAR):
```
U2ZnGe3Pt4
1.0
-2.594 0.307 -3.136
-2.798 -2.094 2.109
-3.951 9.507 4.200
Ge Pt U Zn
3 4 2 1
Direct
0.000 0.000 0.500
0.000 0.500 0.136
0.500 0.000 0.864
0.000 0.500 0.355
0.000 0.000 0.000
0.500 0.000 0.645
0.500 0.500 0.000
0.500 0.000 0.250
0.000 0.500 0.750
0.500 0.500 0.500
```

Calculated total energy ... -67.253 eV per cell


2.
The following is a PBE-GGA calculation of BiW2Cl4 after structural relaxation, from Alexandria via LeMat-Bulk.

Structure (POSCAR):
```
BiW2Cl4
1.0
5.893 0.000 0.000
0.000 5.893 0.000
2.947 2.947 6.459
Cl W Bi
4 2 1
Direct
0.500 0.000 0.000
0.000 0.500 0.000
0.213 0.213 0.573
0.787 0.787 0.427
0.581 0.581 0.837
0.419 0.419 0.163
0.000 0.000 0.000
```

Calculated total energy ... -31.494 eV per cell
Formation energy (no corrections) ... 0.81 eV per atom


3.
The following is a PBE-GGA calculation of TbEr5Pt4 after structural relaxation, from Alexandria via LeMat-Bulk.

Structure (POSCAR):
```
TbEr5Pt4
1.0
-1.390 2.557 2.974
-2.785 -5.947 3.812
9.401 0.915 0.696
Er Tb Pt
5 1 4
Direct
0.165 0.406 0.329
0.835 0.077 0.671
0.835 0.594 0.671
0.500 0.500 0.000
0.165 0.923 0.329
0.500 0.000 0.000
0.000 0.742 0.000
0.294 0.794 0.587
0.706 0.206 0.413
0.000 0.258 0.000
```

Calculated total energy ... -61.805 eV per cell


4.
The following is a PBE-GGA calculation of AgGeRu2O after structural relaxation, from Alexandria via LeMat-Bulk.

Structure (POSCAR):
```
AgGeRu2O
1.0
-0.157 4.929 0.817
-2.378 -0.559 2.917
3.899 -0.390 3.104
Ru Ag Ge O
2 1 1 1
Direct
0.000 0.000 0.500
0.500 0.000 0.000
0.000 0.000 0.000
0.500 0.500 0.500
0.000 0.500 0.000
```

Calculated total energy ... -23.262 eV per cell
Formation energy (no corrections) ... 1.54 eV per atom


5.
The following is a PBE-GGA calculation of Sr2CdH after structural relaxation, from Alexandria via LeMat-Bulk.

Structure (POSCAR):
```
Sr2CdH
1.0
5.821 0.000 0.000
0.000 5.265 -2.546
0.000 0.402 7.547
Cd Sr H
2 4 2
Direct
0.250 0.875 0.000
0.750 0.375 0.000
0.250 0.501 0.292
0.750 0.710 0.708
0.750 0.040 0.291
0.250 0.249 0.709
0.500 0.375 0.500
0.000 0.375 0.500
```

E above lowest polymorph ... 0.0000 eV per atom
Calculated total energy ... -18.035 eV per cell


6.
The following is a PBE-GGA calculation of CrSb2TeS after structural relaxation, from Alexandria via LeMat-Bulk.

Structure (POSCAR):
```
CrSb2TeS
1.0
-4.421 2.531 -0.709
0.306 -0.883 -5.058
-2.600 -4.372 0.606
Sb S Te Cr
2 1 1 1
Direct
0.500 0.000 0.000
0.000 0.500 0.000
0.000 0.000 0.000
0.000 0.000 0.500
0.500 0.500 0.500
```

E above lowest polymorph ... 0.7339 eV per atom
Calculated total energy ... -19.255 eV per cell
Formation energy (no corrections) ... 1.18 eV per atom


7.
The following is a PBE-GGA calculation of La2TaRhN after structural relaxation, from Alexandria via LeMat-Bulk.

Structure (POSCAR):
```
La2TaRhN
1.0
5.825 0.000 0.000
0.000 3.693 0.000
0.000 0.000 5.825
N La Rh Ta
1 2 1 1
Direct
0.000 0.500 0.000
0.000 0.000 0.500
0.500 0.000 0.000
0.000 0.000 0.000
0.500 0.500 0.500
```

Calculated total energy ... -34.714 eV per cell
Formation energy (no corrections) ... 0.53 eV per atom


8.
The following is a PBE-GGA calculation of Sc4AgSn after structural relaxation, from Alexandria via LeMat-Bulk.

Structure (POSCAR):
```
Sc4AgSn
1.0
-1.825 4.238 -1.236
-4.734 0.555 -0.337
-2.480 3.664 6.994
Sc Sn Ag
4 1 1
Direct
0.370 0.370 0.889
0.120 0.120 0.641
0.880 0.880 0.359
0.630 0.630 0.111
0.500 0.500 0.500
0.000 0.000 0.000
```

Calculated total energy ... -32.857 eV per cell